Pa4Ga12Ir after structural relaxation. Source: Alexandria, functional GGA-PBE.

Unit cell a=7.4784 b=7.4784 c=7.4784 alpha=109.47 beta=109.47 gamma=109.47
Last column: nearest neighbours and their distance in Å.
Sites, in units of the cell vectors:
Ga: 0.2957 0.0000 0.2957  1 Ir 2.55, 4 Ga 2.79
Ga: 0.0000 0.7043 0.7043  1 Ir 2.55, 4 Ga 2.79
Pa: 0.0000 0.0000 0.5000  12 Ga 3.05-3.08
Pa: 0.5000 0.0000 0.0000  12 Ga 3.05-3.08
Ga: 0.2957 0.2957 0.0000  1 Ir 2.55, 4 Ga 2.79
Pa: 0.0000 0.5000 0.0000  12 Ga 3.05-3.08
Ga: 0.7043 0.7043 0.0000  1 Ir 2.55, 4 Ga 2.79
Ga: 0.7500 0.5000 0.2500  8 Ga 2.79-3.05, 4 Pa 3.05
Ga: 0.7500 0.2500 0.5000  8 Ga 2.79-3.05, 4 Pa 3.05
Ga: 0.2500 0.5000 0.7500  8 Ga 2.79-3.05, 4 Pa 3.05
Ga: 0.2500 0.7500 0.5000  8 Ga 2.79-3.05, 4 Pa 3.05
Ga: 0.7043 0.0000 0.7043  1 Ir 2.55, 4 Ga 2.79
Ga: 0.5000 0.2500 0.7500  8 Ga 2.79-3.05, 4 Pa 3.05
Ir: 0.0000 0.0000 0.0000  6 Ga 2.55
Ga: 0.5000 0.7500 0.2500  8 Ga 2.79-3.05, 4 Pa 3.05
Ga: 0.0000 0.2957 0.2957  1 Ir 2.55, 4 Ga 2.79
Pa: 0.5000 0.5000 0.5000  12 Ga 3.05-3.08

Results
theoretical density: 10.1 g/cm³
electronic total energy: -90.80 eV for the cell shown
V: 18.9 Å³/atom
energy of formation: -43.3 kJ/mol of atoms
space-group type: No. 229


NpBeSe2 after structural relaxation. Source: Alexandria, functional GGA-PBE.

Unit cell a=3.3547 b=3.3547 c=8.7141 alpha=78.90 beta=78.90 gamma=60.00
Last column: nearest neighbours and their distance in Å.
Sites, in units of the cell vectors:
Np: 0.0000 0.0000 0.0000  2 Se 2.85
Be: 0.5000 0.5000 0.5000  6 Se 2.39
Se: 0.8883 0.8883 0.3351  3 Be 2.39
Se: 0.1117 0.1117 0.6649  3 Be 2.39

Results
theoretical density: 8.1 g/cm³
electronic total energy: -23.85 eV for the cell shown
V: 20.7 Å³/atom
uncorrected formation energy: -0.2 eV per formula unit
space-group type: No. 166


HoSi3Ir after structural relaxation. Source: Alexandria, functional GGA-PBE.

Unit cell a=4.1799 b=4.1799 c=5.7224 alpha=111.39 beta=111.39 gamma=90.02
Last column: nearest neighbours and their distance in Å.
Sites, in units of the cell vectors:
Si: 0.4134 0.4134 0.8264  1 Ir 2.33, 4 Si 2.55
Si: 0.7641 0.2644 0.5287  2 Ir 2.37, 2 Si 2.55
Ho: 0.9969 0.9969 0.9941  12 Si 3.07-3.35, 5 Ir 3.31-3.40
Si: 0.2644 0.7641 0.5287  2 Ir 2.37, 2 Si 2.55
Ir: 0.6506 0.6506 0.3010  5 Si 2.33-2.37

Results
theoretical density: 8.6 g/cm³
electronic total energy: -33.55 eV for the cell shown
V: 17.1 Å³/atom
uncorrected formation energy: -3.8 eV per formula unit
space-group type: No. 107


Ac4CuAg2 after structural relaxation. Source: Alexandria, functional GGA-PBE.

Unit cell a=5.7965 b=5.7965 c=8.8107 alpha=109.21 beta=109.21 gamma=90.00
Last column: nearest neighbours and their distance in Å.
Sites, in units of the cell vectors:
Ac: 0.0000 0.5000 0.0000  2 Cu 2.90
Ac: 0.8040 0.8040 0.6079  1 Cu 3.06, 1 Ag 3.12
Cu: 0.0000 0.0000 0.0000  6 Ac 2.90-3.06
Ac: 0.5000 0.0000 0.0000  2 Cu 2.90
Ag: 0.3962 0.3962 0.7925  5 Ac 3.12-3.32, 1 Ag 3.24
Ag: 0.6038 0.6038 0.2075  5 Ac 3.12-3.32, 1 Ag 3.24
Ac: 0.1960 0.1960 0.3921  1 Cu 3.06, 1 Ag 3.12

Results
theoretical density: 7.5 g/cm³
electronic total energy: -25.92 eV for the cell shown
V: 37.4 Å³/atom
energy of formation: 4.3 kJ/mol of atoms
space-group type: No. 139


AsPbCl after structural relaxation. Source: Alexandria, functional GGA-PBE.

Unit cell a=4.9453 b=4.9453 c=4.9453 alpha=60.00 beta=60.00 gamma=60.00
Last column: nearest neighbours and their distance in Å.
Sites, in units of the cell vectors:
Cl: 0.5000 0.5000 0.5000  4 Pb 3.03
Pb: 0.7500 0.7500 0.7500  4 As 3.03, 4 Cl 3.03
As: 0.0000 0.0000 0.0000  4 Pb 3.03

Results
theoretical density: 6.2 g/cm³
electronic total energy: -10.34 eV for the cell shown
V: 28.5 Å³/atom
uncorrected formation energy: -0.1 eV per formula unit
space-group type: No. 216


PmOsRhO6 after structural relaxation. Source: Alexandria, functional GGA-PBE.

Unit cell a=4.9980 b=5.2633 c=5.2633 alpha=120.00 beta=90.00 gamma=90.00
Last column: nearest neighbours and their distance in Å.
Sites, in units of the cell vectors:
Pm: 0.0000 0.3333 0.6667  6 O 2.38
O: 0.2833 0.7034 0.0247  1 Os 1.96, 1 Rh 2.04
O: 0.7167 0.7034 0.6787  1 Os 1.96, 1 Rh 2.04
Os: 0.5000 0.0000 0.0000  6 O 1.96
O: 0.7167 0.9753 0.2966  1 Os 1.96, 1 Rh 2.04
Rh: 0.5000 0.6667 0.3333  6 O 2.04
O: 0.2833 0.9753 0.6787  1 Os 1.96, 1 Rh 2.04
O: 0.7167 0.3213 0.0247  1 Os 1.96, 1 Rh 2.04
O: 0.2833 0.3213 0.2966  1 Os 1.96, 1 Rh 2.04

Results
theoretical density: 7.4 g/cm³
electronic total energy: -67.21 eV for the cell shown
V: 13.3 Å³/atom
uncorrected formation energy: -14.1 eV per formula unit
space-group type: No. 149


TlRh7 after structural relaxation. Source: Alexandria, functional GGA-PBE.

Unit cell a=5.5413 b=5.5413 c=5.5413 alpha=60.00 beta=60.00 gamma=60.00
Last column: nearest neighbours and their distance in Å.
Sites, in units of the cell vectors:
Rh: 0.0000 0.5000 0.5000  10 Rh 2.77, 2 Tl 2.77
Tl: 0.0000 0.0000 0.0000  12 Rh 2.77
Rh: 0.5000 0.5000 0.5000  12 Rh 2.77
Rh: 0.5000 0.0000 0.5000  10 Rh 2.77, 2 Tl 2.77
Rh: 0.5000 0.0000 0.0000  10 Rh 2.77, 2 Tl 2.77
Rh: 0.0000 0.0000 0.5000  10 Rh 2.77, 2 Tl 2.77
Rh: 0.5000 0.5000 0.0000  10 Rh 2.77, 2 Tl 2.77
Rh: 0.0000 0.5000 0.0000  10 Rh 2.77, 2 Tl 2.77

Results
theoretical density: 12.8 g/cm³
electronic total energy: -53.07 eV for the cell shown
V: 15.0 Å³/atom
energy of formation: 9.2 kJ/mol of atoms
space-group type: No. 225


BaMgSnHg3 after structural relaxation. Source: Alexandria, functional GGA-PBE.

Unit cell a=6.7822 b=6.8655 c=8.5080 alpha=113.80 beta=90.00 gamma=90.00
Last column: nearest neighbours and their distance in Å.
Sites, in units of the cell vectors:
Ba: 0.7500 0.3068 0.6136  2 Sn 3.49, 6 Hg 3.53-3.76, 1 Mg 3.63
Hg: 0.5000 0.7162 0.0000  2 Mg 2.83, 1 Hg 2.97, 2 Sn 3.13
Sn: 0.2500 0.3604 0.7208  5 Hg 3.13-3.43, 2 Ba 3.49
Hg: 0.0000 0.7162 0.0000  2 Mg 2.83, 1 Hg 2.97, 2 Sn 3.13
Mg: 0.7500 0.0736 0.1472  4 Hg 2.83
Sn: 0.7500 0.6396 0.2792  5 Hg 3.13-3.43, 2 Ba 3.49
Hg: 0.7500 0.8601 0.7203  3 Mg 3.32-3.54, 4 Hg 3.38, 1 Sn 3.43, 2 Ba 3.53
Hg: 0.5000 0.2838 0.0000  2 Mg 2.83, 1 Hg 2.97, 2 Sn 3.13
Hg: 0.0000 0.2838 0.0000  2 Mg 2.83, 1 Hg 2.97, 2 Sn 3.13
Mg: 0.2500 0.9264 0.8528  4 Hg 2.83
Ba: 0.2500 0.6932 0.3864  2 Sn 3.49, 6 Hg 3.53-3.76, 1 Mg 3.63
Hg: 0.2500 0.1399 0.2797  3 Mg 3.32-3.54, 4 Hg 3.38, 1 Sn 3.43, 2 Ba 3.53

Results
theoretical density: 8.1 g/cm³
electronic total energy: -19.40 eV for the cell shown
V: 30.2 Å³/atom
energy of formation: -20.5 kJ/mol of atoms
space-group type: No. 63


ZnHg2N after structural relaxation. Source: Alexandria, functional GGA-PBE.

Unit cell a=4.6062 b=4.6062 c=4.6062 alpha=60.00 beta=60.00 gamma=60.00
Last column: nearest neighbours and their distance in Å.
Sites, in units of the cell vectors:
Hg: 0.2500 0.2500 0.2500  4 Zn 2.82, 4 N 2.82
Zn: 0.5000 0.5000 0.5000  8 Hg 2.82
Hg: 0.7500 0.7500 0.7500  4 Zn 2.82, 4 N 2.82
N: 0.0000 0.0000 0.0000  8 Hg 2.82

Results
theoretical density: 11.5 g/cm³
electronic total energy: -5.67 eV for the cell shown
V: 17.3 Å³/atom
uncorrected formation energy: 4.5 eV per formula unit
space-group type: No. 225


AcSm3Ho after structural relaxation. Source: Alexandria, functional GGA-PBE.

Unit cell a=4.9694 b=10.3111 c=8.6619 alpha=60.24 beta=90.00 gamma=103.94
Last column: nearest neighbours and their distance in Å.
Sites, in units of the cell vectors:
Sm: 0.5801 0.1933 0.7947  6 Sm 3.32-3.51, 2 Ho 3.44, 1 Ac 3.60
Ac: 0.6376 0.3083 0.1266  7 Sm 3.60-3.93, 3 Ho 3.75-3.92
Sm: 0.9380 0.9091 0.9382  8 Sm 3.49-3.78, 1 Ho 3.63, 2 Ac 3.76
Ho: 0.2122 0.4575 0.7206  2 Ho 3.39, 5 Sm 3.44-3.63, 1 Ac 3.75
Sm: 0.1060 0.2450 0.4833  8 Sm 3.49-3.78, 1 Ho 3.63, 2 Ac 3.76
Sm: 0.4639 0.9608 0.6268  6 Sm 3.32-3.51, 2 Ho 3.44, 1 Ac 3.60
Ho: 0.8318 0.6966 0.7010  2 Ho 3.39, 5 Sm 3.44-3.63, 1 Ac 3.75
Sm: 0.7496 0.5323 0.3845  6 Sm 3.44-3.78, 2 Ho 3.60, 2 Ac 3.76
Ac: 0.4064 0.8458 0.2949  7 Sm 3.60-3.93, 3 Ho 3.75-3.92
Sm: 0.2944 0.6218 0.0371  6 Sm 3.44-3.78, 2 Ho 3.60, 2 Ac 3.76

Results
theoretical density: 7.6 g/cm³
electronic total energy: -44.17 eV for the cell shown
V: 37.0 Å³/atom
energy of formation: 14.6 kJ/mol of atoms
space-group type: No. 12


Tl3In7Ga4 after structural relaxation. Source: Alexandria, functional GGA-PBE.

Unit cell a=4.5970 b=9.4215 c=9.4203 alpha=73.17 beta=75.88 gamma=75.88
Last column: nearest neighbours and their distance in Å.
Sites, in units of the cell vectors:
Ga: 0.6563 0.4454 0.2420  5 In 2.85-2.97
Ga: 0.3437 0.5546 0.7580  5 In 2.85-2.97
In: 0.5103 0.7740 0.2054  3 Ga 2.94-2.98, 3 In 3.19-3.21
In: 0.6842 0.1665 0.4652  4 Ga 2.85-2.92, 1 In 3.19
Tl: 0.0000 0.5000 0.5000  6 Ga 3.42-3.67, 2 In 3.82
In: 0.4897 0.2260 0.7946  3 Ga 2.94-2.98, 3 In 3.19-3.21
In: 0.8346 0.3990 0.9317  3 Ga 2.95-2.97, 2 In 3.21
Ga: 0.1208 0.0911 0.6672  6 In 2.90-2.98
Ga: 0.8792 0.9089 0.3328  6 In 2.90-2.98
In: 0.3158 0.8335 0.5348  4 Ga 2.85-2.92, 1 In 3.19
Tl: 0.6876 0.8111 0.8136  9 In 3.40-3.75, 4 Ga 3.41-3.46
Tl: 0.3124 0.1889 0.1864  9 In 3.40-3.75, 4 Ga 3.41-3.46
In: 0.0000 0.0000 0.0000  2 Ga 2.95
In: 0.1654 0.6010 0.0683  3 Ga 2.95-2.97, 2 In 3.21

Results
theoretical density: 7.6 g/cm³
electronic total energy: -37.80 eV for the cell shown
V: 26.6 Å³/atom
energy of formation: 3.9 kJ/mol of atoms
space-group type: No. 12


Copy entry 7 word for word.
TlRh7 after structural relaxation. Source: Alexandria, functional GGA-PBE.

Unit cell a=5.5413 b=5.5413 c=5.5413 alpha=60.00 beta=60.00 gamma=60.00
Last column: nearest neighbours and their distance in Å.
Sites, in units of the cell vectors:
Rh: 0.0000 0.5000 0.5000  10 Rh 2.77, 2 Tl 2.77
Tl: 0.0000 0.0000 0.0000  12 Rh 2.77
Rh: 0.5000 0.5000 0.5000  12 Rh 2.77
Rh: 0.5000 0.0000 0.5000  10 Rh 2.77, 2 Tl 2.77
Rh: 0.5000 0.0000 0.0000  10 Rh 2.77, 2 Tl 2.77
Rh: 0.0000 0.0000 0.5000  10 Rh 2.77, 2 Tl 2.77
Rh: 0.5000 0.5000 0.0000  10 Rh 2.77, 2 Tl 2.77
Rh: 0.0000 0.5000 0.0000  10 Rh 2.77, 2 Tl 2.77

Results
theoretical density: 12.8 g/cm³
electronic total energy: -53.07 eV for the cell shown
V: 15.0 Å³/atom
energy of formation: 9.2 kJ/mol of atoms
space-group type: No. 225